Here is a geometry-optimized SnN2Cl structure from Alexandria. Energies are from GGA-PBE.

Summary:
Offset from the most stable computed form: 582 meV per atom
Formation energy from raw total energies: 1.34 eV per atom
Space-group type: I-42d

Geometry as POSCAR:
```
SnN2Cl
1.0
-3.806 -0.831 -4.004
-1.488 -4.813 2.414
-5.732 -0.627 1.681
Sn N Cl
2 4 2
direct
0.000 0.000 0.000
0.750 0.250 0.500
0.875 0.933 0.750
0.067 0.625 0.250
0.375 0.317 0.750
0.683 0.125 0.250
0.500 0.500 0.000
0.250 0.750 0.500
```